A relaxed Ga2HN crystal, computed with GGA-PBE.

Cell lengths 5.5819, 5.5819, 5.5819 Å; angles 90.00, 90.00, 90.00 degrees
Atoms (fractional coordinates):
Ga 0.2500 0.2500 0.2500
Ga 0.2500 0.2500 0.7500
Ga 0.2500 0.7500 0.2500
Ga 0.2500 0.7500 0.7500
Ga 0.7500 0.2500 0.2500
Ga 0.7500 0.2500 0.7500
Ga 0.7500 0.7500 0.2500
Ga 0.7500 0.7500 0.7500
H 0.0000 0.0000 0.0000
H 0.0000 0.5000 0.5000
H 0.5000 0.0000 0.5000
H 0.5000 0.5000 0.0000
N 0.0000 0.0000 0.5000
N 0.0000 0.5000 0.0000
N 0.5000 0.0000 0.0000
N 0.5000 0.5000 0.5000

- Offset from the most stable computed form: 516 meV per atom

***

A relaxed Pm4Sm6Ho crystal, computed with GGA-PBE.

Cell lengths 9.8201, 9.8201, 9.8201 Å; angles 140.19, 140.19, 57.57 degrees
Atoms (fractional coordinates):
Pm 0.0126 0.6351 0.0000
Pm 0.3649 0.3649 0.3775
Pm 0.6351 0.0126 0.0000
Pm 0.9874 0.9874 0.6225
Sm 0.0000 0.5000 0.5000
Sm 0.1959 0.1959 0.6457
Sm 0.4498 0.8041 0.0000
Sm 0.5000 0.0000 0.5000
Sm 0.5502 0.5502 0.3543
Sm 0.8041 0.4498 0.0000
Ho 0.0000 0.0000 0.0000

- Formation enthalpy at 0 K: 0.286 eV per atom
- Offset from the most stable computed form: 0 meV per atom

***

A relaxed GePdS2 crystal, computed with GGA-PBE.

Cell lengths 5.5458, 5.5458, 10.9621 Å; angles 90.00, 90.00, 90.00 degrees
Atoms (fractional coordinates):
Ge 0.0000 0.0000 0.0000
Ge 0.0000 0.5000 0.2500
Ge 0.5000 0.0000 0.7500
Ge 0.5000 0.5000 0.5000
Pd 0.0000 0.0000 0.5000
Pd 0.0000 0.5000 0.7500
Pd 0.5000 0.0000 0.2500
Pd 0.5000 0.5000 0.0000
S 0.2464 0.2500 0.1250
S 0.2500 0.7464 0.3750
S 0.2500 0.7536 0.8750
S 0.2536 0.2500 0.6250
S 0.7464 0.7500 0.6250
S 0.7500 0.2464 0.8750
S 0.7500 0.2536 0.3750
S 0.7536 0.7500 0.1250

- Formation energy from raw total energies: -0.106 eV per atom